! Be5Hg GGA-PBE relaxed; values from VASP
&SYSTEM
  ibrav = 0, nat = 6, ntyp = 2
/
ATOMIC_SPECIES
Be 9.01 Be.upf
Hg 200.59 Hg.upf
CELL_PARAMETERS angstrom
2.6929 0.0000 0.0000
0.0000 2.6929 0.0000
0.0000 0.0000 9.0407
ATOMIC_POSITIONS crystal
Be 0.0000 0.0000 0.2374
Be 0.0000 0.0000 0.5000
Be 0.5000 0.5000 0.3707
Be 0.5000 0.5000 0.6293
Be 0.0000 0.0000 0.7626
Hg 0.5000 0.5000 0.0000
! size of the total moment: 0.00 μB per formula unit
! raw total energy: -2.781 eV per atom
! E above lowest polymorph: 0.089 eV/atom
! symmetry: P4/mmm